A.
Entry from the Alexandria database: an optimized crystal structure of MnBi2Os (PBE).

a b c (Å): 4.758 4.758 4.758
angles (deg): 60.00 60.00 60.00
Fractional positions:
Mn1 0.000 0.000 0.000
Bi1 0.250 0.250 0.250
Bi2 0.750 0.750 0.750
Os1 0.500 0.500 0.500

## Properties
crystal system: cubic
DOS(E_F): 4.5 states/eV per cell
ρ: 14.45 g/cm3



B.
Entry from the Alexandria database: an optimized crystal structure of MnBi2Os (PBE).

a b c (Å): 7.247 7.247 7.247
angles (deg): 125.53 125.53 80.67
Fractional positions:
Mn1 0.000 0.000 0.000
Mn2 0.750 0.250 0.500
Bi1 0.144 0.625 0.019
Bi2 0.375 0.394 0.519
Bi3 0.606 0.125 0.981
Bi4 0.875 0.856 0.481
Os1 0.250 0.750 0.500
Os2 0.500 0.500 0.000

## Properties
crystal system: tetragonal
DOS(E_F): 5.7 states/eV per cell
ρ: 9.06 g/cm3



It is A that is the most stable of them.



A.
Entry from the Alexandria database: an optimized crystal structure of MnBi3P (PBE).

a b c (Å): 5.063 5.063 5.063
angles (deg): 90.00 90.00 90.00
Fractional positions:
Mn1 0.000 0.000 0.000
Bi1 0.000 0.000 0.500
Bi2 0.000 0.500 0.000
Bi3 0.500 0.000 0.000
P1 0.500 0.500 0.500

## Properties
crystal system: cubic
DOS(E_F): 3.3 states/eV per cell
ρ: 9.12 g/cm3



B.
Entry from the Alexandria database: an optimized crystal structure of MnBi3P (PBE).

a b c (Å): 5.402 5.402 5.402
angles (deg): 90.00 90.00 90.00
Fractional positions:
Mn1 0.000 0.000 0.000
Bi1 0.000 0.500 0.500
Bi2 0.500 0.000 0.500
Bi3 0.500 0.500 0.000
P1 0.500 0.500 0.500

## Properties
crystal system: cubic
DOS(E_F): 5.0 states/eV per cell
ρ: 7.51 g/cm3



It is A that is the most stable of them.



A.
Entry from the Alexandria database: an optimized crystal structure of MnBiPS2 (PBE).

a b c (Å): 4.550 4.550 4.772
angles (deg): 90.00 90.00 90.00
Fractional positions:
Mn1 0.000 0.000 0.000
Bi1 0.500 0.500 0.500
P1 0.000 0.000 0.500
S1 0.000 0.500 0.000
S2 0.500 0.000 0.000

## Properties
crystal system: tetragonal
DOS(E_F): 3.1 states/eV per cell
ρ: 6.03 g/cm3



B.
Entry from the Alexandria database: an optimized crystal structure of MnBiPS2 (PBE).

a b c (Å): 5.163 5.163 5.286
angles (deg): 90.00 90.00 90.00
Fractional positions:
Mn1 0.000 0.000 0.000
Bi1 0.500 0.500 0.500
P1 0.500 0.500 0.000
S1 0.000 0.500 0.500
S2 0.500 0.000 0.500

## Properties
crystal system: tetragonal
DOS(E_F): 4.6 states/eV per cell
ρ: 4.23 g/cm3



It is A that is the most stable of them.



A.
Entry from the Alexandria database: an optimized crystal structure of Pa2MnBi (PBE).

a b c (Å): 7.587 7.587 6.586
angles (deg): 90.00 90.00 149.68
Fractional positions:
Pa1 0.155 0.845 0.514
Pa2 0.155 0.845 0.986
Pa3 0.845 0.155 0.014
Pa4 0.845 0.155 0.486
Mn1 0.311 0.689 0.750
Mn2 0.689 0.311 0.250
Bi1 0.500 0.500 0.250
Bi2 0.500 0.500 0.750

## Properties
crystal system: orthorhombic
DOS(E_F): 9.6 states/eV per cell
ρ: 12.60 g/cm3



B.
Entry from the Alexandria database: an optimized crystal structure of Pa2MnBi (PBE).

a b c (Å): 7.892 7.892 7.892
angles (deg): 28.74 28.74 28.74
Fractional positions:
Pa1 0.228 0.228 0.228
Pa2 0.772 0.772 0.772
Mn1 0.500 0.500 0.500
Bi1 0.000 0.000 0.000

## Properties
crystal system: trigonal
DOS(E_F): 5.5 states/eV per cell
ρ: 12.00 g/cm3



It is B that is the most stable of them.



A.
Entry from the Alexandria database: an optimized crystal structure of MnBiPd4 (PBE).

a b c (Å): 5.039 5.039 4.867
angles (deg): 97.36 97.36 121.91
Fractional positions:
Mn1 0.000 0.000 0.000
Bi1 0.500 0.500 0.500
Pd1 0.162 0.838 0.500
Pd2 0.331 0.669 0.000
Pd3 0.669 0.331 0.000
Pd4 0.838 0.162 0.500

## Properties
crystal system: monoclinic
DOS(E_F): 3.0 states/eV per cell
ρ: 11.32 g/cm3



B.
Entry from the Alexandria database: an optimized crystal structure of MnBiPd4 (PBE).

a b c (Å): 5.118 5.118 4.737
angles (deg): 90.00 90.00 124.73
Fractional positions:
Mn1 0.000 0.000 0.000
Bi1 0.500 0.500 0.500
Pd1 0.160 0.840 0.500
Pd2 0.335 0.665 0.000
Pd3 0.665 0.335 0.000
Pd4 0.840 0.160 0.500

## Properties
crystal system: orthorhombic
DOS(E_F): 2.8 states/eV per cell
ρ: 11.23 g/cm3



It is A that is the most stable of them.



A.
Entry from the Alexandria database: an optimized crystal structure of Mn2BiPd2 (PBE).

a b c (Å): 7.666 7.666 3.101
angles (deg): 90.00 90.00 90.00
Fractional positions:
Mn1 0.142 0.358 0.000
Mn2 0.358 0.858 0.000
Mn3 0.642 0.142 0.000
Mn4 0.858 0.642 0.000
Bi1 0.000 0.000 0.000
Bi2 0.500 0.500 0.000
Pd1 0.145 0.645 0.500
Pd2 0.355 0.145 0.500
Pd3 0.645 0.855 0.500
Pd4 0.855 0.355 0.500

## Properties
crystal system: tetragonal
DOS(E_F): 4.6 states/eV per cell
ρ: 9.69 g/cm3



B.
Entry from the Alexandria database: an optimized crystal structure of Mn2BiPd2 (PBE).

a b c (Å): 7.531 7.531 3.179
angles (deg): 90.00 90.00 90.00
Fractional positions:
Mn1 0.157 0.343 0.000
Mn2 0.343 0.843 0.000
Mn3 0.657 0.157 0.000
Mn4 0.843 0.657 0.000
Bi1 0.000 0.000 0.500
Bi2 0.500 0.500 0.500
Pd1 0.134 0.634 0.500
Pd2 0.366 0.134 0.500
Pd3 0.634 0.866 0.500
Pd4 0.866 0.366 0.500

## Properties
crystal system: tetragonal
DOS(E_F): 5.1 states/eV per cell
ρ: 9.79 g/cm3



It is B that is the most stable of them.



A.
Entry from the Alexandria database: an optimized crystal structure of RbMn2Bi2 (PBE).

a b c (Å): 7.927 7.927 7.927
angles (deg): 145.80 145.80 49.15
Fractional positions:
Rb1 0.000 0.000 0.000
Mn1 0.250 0.750 0.500
Mn2 0.750 0.250 0.500
Bi1 0.361 0.361 0.000
Bi2 0.639 0.639 0.000

## Properties
crystal system: tetragonal
DOS(E_F): 4.4 states/eV per cell
ρ: 6.50 g/cm3



B.
Entry from the Alexandria database: an optimized crystal structure of RbMn2Bi2 (PBE).

a b c (Å): 9.302 9.302 3.441
angles (deg): 90.00 90.00 90.00
Fractional positions:
Rb1 0.000 0.000 0.000
Rb2 0.500 0.500 0.000
Mn1 0.074 0.426 0.500
Mn2 0.426 0.926 0.500
Mn3 0.574 0.074 0.500
Mn4 0.926 0.574 0.500
Bi1 0.156 0.656 0.000
Bi2 0.344 0.156 0.000
Bi3 0.656 0.844 0.000
Bi4 0.844 0.344 0.000

## Properties
crystal system: tetragonal
DOS(E_F): 9.0 states/eV per cell
ρ: 6.84 g/cm3



It is A that is the most stable of them.



A.
Entry from the Alexandria database: an optimized crystal structure of RbMnBi2 (PBE).

a b c (Å): 8.378 8.378 8.378
angles (deg): 128.98 128.98 75.04
Fractional positions:
Rb1 0.375 0.625 0.750
Rb2 0.625 0.375 0.250
Mn1 0.125 0.875 0.250
Mn2 0.875 0.125 0.750
Bi1 0.000 0.000 0.000
Bi2 0.000 0.000 0.500
Bi3 0.000 0.500 0.000
Bi4 0.500 0.000 0.500

## Properties
crystal system: tetragonal
DOS(E_F): 0.0 states/eV per cell
ρ: 5.36 g/cm3



B.
Entry from the Alexandria database: an optimized crystal structure of RbMnBi2 (PBE).

a b c (Å): 5.554 5.554 5.554
angles (deg): 60.00 60.00 60.00
Fractional positions:
Rb1 0.000 0.000 0.000
Mn1 0.500 0.500 0.500
Bi1 0.250 0.250 0.250
Bi2 0.750 0.750 0.750

## Properties
crystal system: cubic
DOS(E_F): 3.5 states/eV per cell
ρ: 7.65 g/cm3



It is A that is the most stable of them.